Record 1
## MgPO2 (GGA-PBEsol)

Data for crystalline MgPO2 at its relaxed geometry.

Summary:
Raw formation energy (eV per atom): -1.7587
ρ (g/cm3): 3.4
Space-group type: R-3m (166)
Total magnetic moment (μB/atom): 0.000

Cell lengths 5.8850, 5.8850, 5.8850 Å; angles 28.99, 28.99, 28.99 degrees
Element x y z (fractional)
Mg (0.0000, 0.0000, 0.0000)
P (0.5000, 0.5000, 0.5000)
O (0.3997, 0.3997, 0.3997)
O (0.6003, 0.6003, 0.6003)

---

Record 2
## MgP4O11 (GGA-PBEsol)

Data for crystalline MgP4O11 at its relaxed geometry.

Summary:
Raw formation energy (eV per atom): -2.2377
ρ (g/cm3): 2.5
Space-group type: P2_1/c (14)
Total magnetic moment (μB/atom): 0.000

Cell lengths 5.4057, 22.3703, 7.5001 Å; angles 90.00, 111.13, 90.00 degrees
Element x y z (fractional)
Mg (0.9998, 0.1144, 0.1359)
Mg (0.9998, 0.3856, 0.6359)
Mg (0.0002, 0.6144, 0.3641)
Mg (0.0002, 0.8856, 0.8641)
P (0.3097, 0.5712, 0.8047)
P (0.3097, 0.9288, 0.3047)
P (0.3261, 0.1790, 0.5580)
P (0.3261, 0.3210, 0.0580)
P (0.3994, 0.5367, 0.1998)
P (0.3994, 0.9633, 0.6998)
P (0.4031, 0.1949, 0.9721)
P (0.4031, 0.3051, 0.4721)
P (0.5969, 0.6949, 0.5279)
P (0.5969, 0.8051, 0.0279)
P (0.6006, 0.0367, 0.3002)
P (0.6006, 0.4633, 0.8002)
P (0.6739, 0.6790, 0.9420)
P (0.6739, 0.8210, 0.4420)
P (0.6903, 0.0712, 0.6953)
P (0.6903, 0.4288, 0.1953)
O (0.0790, 0.5740, 0.6266)
O (0.0790, 0.9260, 0.1266)
O (0.0909, 0.1564, 0.4027)
O (0.0909, 0.3436, 0.9027)
O (0.1985, 0.1802, 0.0531)
O (0.1985, 0.3198, 0.5531)
O (0.2152, 0.5484, 0.3002)
O (0.2152, 0.9516, 0.8002)
O (0.2292, 0.5457, 0.9709)
O (0.2292, 0.9543, 0.4709)
O (0.2572, 0.1945, 0.7386)
O (0.2572, 0.3055, 0.2386)
O (0.3389, 0.0658, 0.2555)
O (0.3389, 0.4342, 0.7555)
O (0.3408, 0.6635, 0.4779)
O (0.3408, 0.8365, 0.9779)
O (0.4265, 0.6356, 0.8751)
O (0.4265, 0.8644, 0.3751)
O (0.4395, 0.0360, 0.7002)
O (0.4395, 0.4640, 0.2002)
O (0.4702, 0.2341, 0.5082)
O (0.4702, 0.2659, 0.0082)
O (0.5298, 0.7341, 0.9918)
O (0.5298, 0.7659, 0.4918)
O (0.5605, 0.5360, 0.7998)
O (0.5605, 0.9640, 0.2998)
O (0.5735, 0.1356, 0.6249)
O (0.5735, 0.3644, 0.1249)
O (0.6592, 0.1635, 0.0221)
O (0.6592, 0.3365, 0.5221)
O (0.6610, 0.5658, 0.2445)
O (0.6610, 0.9342, 0.7445)
O (0.7428, 0.6945, 0.7614)
O (0.7428, 0.8055, 0.2614)
O (0.7708, 0.0457, 0.5291)
O (0.7708, 0.4543, 0.0291)
O (0.7848, 0.0484, 0.1998)
O (0.7848, 0.4516, 0.6998)
O (0.8015, 0.6802, 0.4469)
O (0.8015, 0.8198, 0.9469)
O (0.9091, 0.6564, 0.0973)
O (0.9091, 0.8436, 0.5973)
O (0.9210, 0.0740, 0.8734)
O (0.9210, 0.4260, 0.3734)

---

Record 3
## MgP2O6 (GGA-PBEsol)

Data for crystalline MgP2O6 at its relaxed geometry.

Summary:
Raw formation energy (eV per atom): -2.4084
ρ (g/cm3): 2.8
Space-group type: C2/c (15)
Total magnetic moment (μB/atom): 0.000

Cell lengths 7.2110, 7.2110, 10.0230 Å; angles 113.50, 113.50, 70.06 degrees
Element x y z (fractional)
Mg (0.0000, 0.5000, 0.5000)
Mg (0.0533, 0.9467, 0.7500)
Mg (0.5000, 0.0000, 0.0000)
Mg (0.9467, 0.0533, 0.2500)
P (0.2540, 0.7311, 0.0235)
P (0.2689, 0.7460, 0.4765)
P (0.2915, 0.3132, 0.8041)
P (0.3132, 0.2915, 0.3041)
P (0.6868, 0.7085, 0.6959)
P (0.7085, 0.6868, 0.1959)
P (0.7311, 0.2540, 0.5235)
P (0.7460, 0.2689, 0.9765)
O (0.0917, 0.8549, 0.0977)
O (0.1219, 0.2808, 0.3261)
O (0.1451, 0.9083, 0.4023)
O (0.1848, 0.3466, 0.6530)
O (0.1918, 0.7090, 0.5823)
O (0.2090, 0.5035, 0.9348)
O (0.2808, 0.1219, 0.8261)
O (0.2910, 0.8082, 0.9177)
O (0.3165, 0.5299, 0.3483)
O (0.3466, 0.1848, 0.1530)
O (0.4701, 0.6835, 0.1517)
O (0.4965, 0.7910, 0.5652)
O (0.5035, 0.2090, 0.4348)
O (0.5299, 0.3165, 0.8483)
O (0.6534, 0.8152, 0.8470)
O (0.6835, 0.4701, 0.6517)
O (0.7090, 0.1918, 0.0823)
O (0.7192, 0.8781, 0.1739)
O (0.7910, 0.4965, 0.0652)
O (0.8082, 0.2910, 0.4177)
O (0.8152, 0.6534, 0.3470)
O (0.8549, 0.0917, 0.5977)
O (0.8781, 0.7192, 0.6739)
O (0.9083, 0.1451, 0.9023)

---

Record 4
## RbMgPO4 (GGA-PBEsol)

Data for crystalline RbMgPO4 at its relaxed geometry.

Summary:
Raw formation energy (eV per atom): -2.5150
ρ (g/cm3): 3.1
Space-group type: Pna2_1 (33)
Total magnetic moment (μB/atom): 0.000

Cell lengths 8.8205, 9.3270, 5.3937 Å; angles 90.00, 90.00, 90.00 degrees
Element x y z (fractional)
Rb (0.0035, 0.2181, 0.0000)
Rb (0.4965, 0.7181, 0.5000)
Rb (0.5035, 0.2819, 0.0000)
Rb (0.9965, 0.7819, 0.5000)
Mg (0.1861, 0.5806, 0.0152)
Mg (0.3139, 0.0806, 0.5152)
Mg (0.6861, 0.9194, 0.0152)
Mg (0.8139, 0.4194, 0.5152)
P (0.2047, 0.4161, 0.5155)
P (0.2953, 0.9161, 0.0155)
P (0.7047, 0.0839, 0.5155)
P (0.7953, 0.5839, 0.0155)
O (0.0305, 0.4162, 0.5088)
O (0.2329, 0.9400, 0.7497)
O (0.2371, 0.0381, 0.1864)
O (0.2406, 0.7710, 0.1211)
O (0.2594, 0.2710, 0.6211)
O (0.2629, 0.5381, 0.6864)
O (0.2671, 0.4400, 0.2497)
O (0.4695, 0.9162, 0.0088)
O (0.5305, 0.0838, 0.5088)
O (0.7329, 0.5600, 0.7497)
O (0.7371, 0.4619, 0.1864)
O (0.7406, 0.7290, 0.1211)
O (0.7594, 0.2290, 0.6211)
O (0.7629, 0.9619, 0.6864)
O (0.7671, 0.0600, 0.2497)
O (0.9695, 0.5838, 0.0088)

---

Record 5
## RbMgP2O (GGA-PBEsol)

Data for crystalline RbMgP2O at its relaxed geometry.

Summary:
Raw formation energy (eV per atom): 0.1551
ρ (g/cm3): 3.0
Space-group type: P4/mmm (123)
Total magnetic moment (μB/atom): 0.023

Cell lengths 5.2753, 5.2753, 3.7939 Å; angles 90.00, 90.00, 90.00 degrees
Element x y z (fractional)
Rb (0.0000, 0.0000, 0.0000)
Mg (0.5000, 0.5000, 0.5000)
P (0.0000, 0.5000, 0.5000)
P (0.5000, 0.0000, 0.5000)
O (0.5000, 0.5000, 0.0000)

---

Record 6
## MgTiSbP3O12 (GGA-PBEsol)

Data for crystalline MgTiSbP3O12 at its relaxed geometry.

Summary:
Raw formation energy (eV per atom): -2.3029
ρ (g/cm3): 3.6
Space-group type: R3c (161)
Total magnetic moment (μB/atom): 0.000

Cell lengths 8.2657, 8.2657, 8.2657 Å; angles 64.60, 64.60, 64.60 degrees
Element x y z (fractional)
Mg (0.0000, 0.0000, 0.0000)
Mg (0.5000, 0.5000, 0.5000)
Ti (0.3449, 0.3449, 0.3449)
Ti (0.8449, 0.8449, 0.8449)
Sb (0.1596, 0.1596, 0.1596)
Sb (0.6596, 0.6596, 0.6596)
P (0.0632, 0.4271, 0.7404)
P (0.2404, 0.9271, 0.5632)
P (0.4271, 0.7404, 0.0632)
P (0.5632, 0.2404, 0.9271)
P (0.7404, 0.0632, 0.4271)
P (0.9271, 0.5632, 0.2404)
O (0.0808, 0.2463, 0.9102)
O (0.0872, 0.9253, 0.7560)
O (0.1122, 0.4915, 0.2953)
O (0.1671, 0.9238, 0.4263)
O (0.2463, 0.9102, 0.0808)
O (0.2560, 0.4253, 0.5872)
O (0.2953, 0.1122, 0.4915)
O (0.4102, 0.7463, 0.5808)
O (0.4238, 0.6671, 0.9263)
O (0.4253, 0.5872, 0.2560)
O (0.4263, 0.1671, 0.9238)
O (0.4915, 0.2953, 0.1122)
O (0.5808, 0.4102, 0.7463)
O (0.5872, 0.2560, 0.4253)
O (0.6122, 0.7953, 0.9915)
O (0.6671, 0.9263, 0.4238)
O (0.7463, 0.5808, 0.4102)
O (0.7560, 0.0872, 0.9253)
O (0.7953, 0.9915, 0.6122)
O (0.9102, 0.0808, 0.2463)
O (0.9238, 0.4263, 0.1671)
O (0.9253, 0.7560, 0.0872)
O (0.9263, 0.4238, 0.6671)
O (0.9915, 0.6122, 0.7953)

---

Record 7
## MgTiSnP3O12 (GGA-PBEsol)

Data for crystalline MgTiSnP3O12 at its relaxed geometry.

Summary:
Raw formation energy (eV per atom): -2.3215
ρ (g/cm3): 3.5
Space-group type: R3c (161)
Total magnetic moment (μB/atom): 0.050

Cell lengths 8.5495, 8.5495, 8.5495 Å; angles 61.14, 61.14, 61.14 degrees
Element x y z (fractional)
Mg (0.0000, 0.0000, 0.0000)
Mg (0.5000, 0.5000, 0.5000)
Ti (0.1405, 0.1405, 0.1405)
Ti (0.6405, 0.6405, 0.6405)
Sn (0.3519, 0.3519, 0.3519)
Sn (0.8519, 0.8519, 0.8519)
P (0.0442, 0.7468, 0.4470)
P (0.2468, 0.5442, 0.9470)
P (0.4470, 0.0442, 0.7468)
P (0.5442, 0.9470, 0.2468)
P (0.7468, 0.4470, 0.0442)
P (0.9470, 0.2468, 0.5442)
O (0.0132, 0.8136, 0.6003)
O (0.0572, 0.9051, 0.2529)
O (0.0891, 0.7428, 0.9340)
O (0.1003, 0.3136, 0.5132)
O (0.1770, 0.3877, 0.9960)
O (0.2428, 0.5891, 0.4340)
O (0.2529, 0.0572, 0.9051)
O (0.3136, 0.5132, 0.1003)
O (0.3877, 0.9960, 0.1770)
O (0.4051, 0.5572, 0.7529)
O (0.4340, 0.2428, 0.5891)
O (0.4960, 0.8877, 0.6770)
O (0.5132, 0.1003, 0.3136)
O (0.5572, 0.7529, 0.4051)
O (0.5891, 0.4340, 0.2428)
O (0.6003, 0.0132, 0.8136)
O (0.6770, 0.4960, 0.8877)
O (0.7428, 0.9340, 0.0891)
O (0.7529, 0.4051, 0.5572)
O (0.8136, 0.6003, 0.0132)
O (0.8877, 0.6770, 0.4960)
O (0.9051, 0.2529, 0.0572)
O (0.9340, 0.0891, 0.7428)
O (0.9960, 0.1770, 0.3877)

---

Record 8
## SrMgP2O (GGA-PBEsol)

Data for crystalline SrMgP2O at its relaxed geometry.

Summary:
Raw formation energy (eV per atom): 0.5147
ρ (g/cm3): 2.5
Space-group type: P4/mmm (123)
Total magnetic moment (μB/atom): 0.355

Cell lengths 5.4078, 5.4078, 4.3483 Å; angles 90.00, 90.00, 90.00 degrees
Element x y z (fractional)
Sr (0.0000, 0.0000, 0.0000)
Mg (0.5000, 0.5000, 0.5000)
P (0.0000, 0.5000, 0.0000)
P (0.5000, 0.0000, 0.0000)
O (0.0000, 0.0000, 0.5000)

---

> The lowest raw formation energy belongs to which entry?

RbMgPO4

---

> Number 2 is which compound?

MgP4O11